! BaV3F (GGA+U, relaxed); values from VASP
&SYSTEM
  ibrav = 0, nat = 5, ntyp = 3
/
ATOMIC_SPECIES
Ba 137.33 Ba.upf
V 50.94 V.upf
F 19.00 F.upf
CELL_PARAMETERS angstrom
6.3935 0.0000 0.0000
0.0000 6.3935 0.0000
0.0000 0.0000 6.3935
ATOMIC_POSITIONS crystal
Ba 0.0000 0.0000 0.0000
V 0.0000 0.0000 0.5000
V 0.0000 0.5000 0.0000
V 0.5000 0.0000 0.0000
F 0.5000 0.5000 0.5000
! * raw total energy: -0.2307 Ry/atom
! * calculated density: 1.96 g cm⁻³
! * total magnetic moment: 14.11 μB per cell
! * crystal system: cubic